[1]
A geometry-optimized Be2Rh2Br structure. Source: Alexandria via LeMat-Bulk, functional PBE. Values from VASP.

Computed properties:
Energy relative to the elements, uncorrected, eV/f.u.: 0.2

The structure in Quantum ESPRESSO input format:
```
&SYSTEM
  ibrav = 0, nat = 5, ntyp = 3
/
ATOMIC_SPECIES
Be 9.01 Be.upf
Rh 102.91 Rh.upf
Br 79.90 Br.upf
ATOMIC_POSITIONS angstrom
Be 0.000 1.545 3.618
Be 1.545 0.000 3.618
Rh 0.000 0.000 9.157
Rh 0.000 0.000 5.314
Br 0.000 0.000 0.000
CELL_PARAMETERS angstrom
-1.545 1.545 7.235
1.545 -1.545 7.235
1.545 1.545 -7.235
```

---

[2]
A geometry-optimized BeRh2Br structure. Source: Alexandria via LeMat-Bulk, functional PBE. Values from VASP.

Computed properties:
Energy relative to the elements, uncorrected, eV/f.u.: 2.0

The structure in Quantum ESPRESSO input format:
```
&SYSTEM
  ibrav = 0, nat = 4, ntyp = 3
/
ATOMIC_SPECIES
Be 9.01 Be.upf
Br 79.90 Br.upf
Rh 102.91 Rh.upf
ATOMIC_POSITIONS angstrom
Be 0.000 0.000 0.000
Br 3.053 3.053 3.053
Rh 1.526 1.526 1.526
Rh 4.579 4.579 4.579
CELL_PARAMETERS angstrom
0.000 3.053 3.053
3.053 0.000 3.053
3.053 3.053 0.000
```

---

[3]
A geometry-optimized BeRh2Br structure. Source: Alexandria via LeMat-Bulk, functional PBE. Values from VASP.

Computed properties:
Energy relative to the elements, uncorrected, eV/f.u.: 1.5

The structure in Quantum ESPRESSO input format:
```
&SYSTEM
  ibrav = 0, nat = 4, ntyp = 3
/
ATOMIC_SPECIES
Rh 102.91 Rh.upf
Br 79.90 Br.upf
Be 9.01 Be.upf
ATOMIC_POSITIONS angstrom
Rh 0.000 0.000 0.000
Rh 0.000 2.163 2.163
Br 1.510 0.000 2.163
Be 1.510 2.163 0.000
CELL_PARAMETERS angstrom
3.020 0.000 0.000
0.000 4.325 0.000
0.000 0.000 4.325
```

---

[4]
A geometry-optimized BeRh2Br structure. Source: Alexandria via LeMat-Bulk, functional PBE. Values from VASP.

Computed properties:
Energy relative to the elements, uncorrected, eV/f.u.: 0.9

The structure in Quantum ESPRESSO input format:
```
&SYSTEM
  ibrav = 0, nat = 4, ntyp = 3
/
ATOMIC_SPECIES
Be 9.01 Be.upf
Rh 102.91 Rh.upf
Br 79.90 Br.upf
ATOMIC_POSITIONS angstrom
Be 1.233 -2.031 0.028
Rh -0.807 -2.820 0.636
Rh 0.077 -0.126 0.002
Br 0.521 -5.007 0.666
CELL_PARAMETERS angstrom
-1.335 -0.772 2.765
-2.354 -1.451 -1.542
3.142 -5.174 0.072
```

---

[5]
A geometry-optimized BeRh2Br structure. Source: Alexandria via LeMat-Bulk, functional PBE. Values from VASP.

Computed properties:
Energy relative to the elements, uncorrected, eV/f.u.: 2.9

The structure in Quantum ESPRESSO input format:
```
&SYSTEM
  ibrav = 0, nat = 4, ntyp = 3
/
ATOMIC_SPECIES
Rh 102.91 Rh.upf
Be 9.01 Be.upf
Br 79.90 Br.upf
ATOMIC_POSITIONS angstrom
Rh 0.000 0.000 0.000
Rh 2.204 1.273 0.900
Be 4.408 2.545 1.800
Br 6.612 3.818 2.699
CELL_PARAMETERS angstrom
4.408 0.000 0.000
2.204 3.818 0.000
2.204 1.273 3.599
```

---

[6]
A geometry-optimized BeRh2Br structure. Source: Alexandria via LeMat-Bulk, functional PBE. Values from VASP.

Computed properties:
Energy relative to the elements, uncorrected, eV/f.u.: 0.1

The structure in Quantum ESPRESSO input format:
```
&SYSTEM
  ibrav = 0, nat = 4, ntyp = 3
/
ATOMIC_SPECIES
Rh 102.91 Rh.upf
Br 79.90 Br.upf
Be 9.01 Be.upf
ATOMIC_POSITIONS angstrom
Rh -3.278 -3.346 -0.811
Rh -0.489 -0.659 -0.207
Br -6.023 -5.344 -2.765
Be -2.256 -1.338 -1.748
CELL_PARAMETERS angstrom
-0.744 1.329 -2.479
-0.255 -2.584 -1.309
-7.280 -5.427 -0.725
```

---

[7]
A geometry-optimized BeRh2Br structure. Source: Alexandria via LeMat-Bulk, functional PBE. Values from VASP.

Computed properties:
Energy relative to the elements, uncorrected, eV/f.u.: 2.1

The structure in Quantum ESPRESSO input format:
```
&SYSTEM
  ibrav = 0, nat = 4, ntyp = 3
/
ATOMIC_SPECIES
Rh 102.91 Rh.upf
Br 79.90 Br.upf
Be 9.01 Be.upf
ATOMIC_POSITIONS angstrom
Rh -0.230 1.245 2.591
Rh 0.000 0.000 0.000
Br 0.702 2.701 0.729
Be -1.692 3.664 2.018
CELL_PARAMETERS angstrom
-0.759 5.120 0.155
-2.624 2.208 3.880
3.855 -3.383 -0.715
```

---

[8]
A geometry-optimized BeRh2Br structure. Source: Alexandria via LeMat-Bulk, functional PBE. Values from VASP.

Computed properties:
Energy relative to the elements, uncorrected, eV/f.u.: 1.3

The structure in Quantum ESPRESSO input format:
```
&SYSTEM
  ibrav = 0, nat = 4, ntyp = 3
/
ATOMIC_SPECIES
Br 79.90 Br.upf
Rh 102.91 Rh.upf
Be 9.01 Be.upf
ATOMIC_POSITIONS angstrom
Br 1.522 1.878 1.229
Rh 4.334 2.524 0.000
Rh 7.386 4.301 0.000
Be 2.844 -0.392 1.234
CELL_PARAMETERS angstrom
5.228 0.005 0.006
2.585 4.545 -0.006
-3.447 -3.064 2.463
```

---

[9]
A geometry-optimized BeRh2Br structure. Source: Alexandria via LeMat-Bulk, functional PBE. Values from VASP.

Computed properties:
Energy relative to the elements, uncorrected, eV/f.u.: 1.8

The structure in Quantum ESPRESSO input format:
```
&SYSTEM
  ibrav = 0, nat = 8, ntyp = 3
/
ATOMIC_SPECIES
Rh 102.91 Rh.upf
Br 79.90 Br.upf
Be 9.01 Be.upf
ATOMIC_POSITIONS angstrom
Rh 1.591 -2.232 2.662
Rh 6.607 -5.273 4.292
Rh 5.649 -2.625 3.327
Rh 3.431 -2.415 0.330
Br 0.000 0.000 0.000
Br 3.365 -3.266 4.054
Be 5.274 -3.007 1.252
Be 1.404 -3.021 0.678
CELL_PARAMETERS angstrom
-0.504 -3.280 3.480
3.313 -2.763 -2.124
5.830 -0.230 3.950
```

---

[10]
A geometry-optimized BeRh2Br structure. Source: Alexandria via LeMat-Bulk, functional PBE. Values from VASP.

Computed properties:
Energy relative to the elements, uncorrected, eV/f.u.: 1.8

The structure in Quantum ESPRESSO input format:
```
&SYSTEM
  ibrav = 0, nat = 4, ntyp = 3
/
ATOMIC_SPECIES
Rh 102.91 Rh.upf
Be 9.01 Be.upf
Br 79.90 Br.upf
ATOMIC_POSITIONS angstrom
Rh -0.342 -2.432 1.420
Rh 0.000 0.000 0.000
Be -0.455 0.589 2.429
Br 1.695 -1.261 2.386
CELL_PARAMETERS angstrom
-2.492 -0.582 1.463
1.808 -4.282 1.376
1.582 1.760 3.396
```

---

[11]
A geometry-optimized BeRh2Br structure. Source: Alexandria via LeMat-Bulk, functional PBE. Values from VASP.

Computed properties:
Energy relative to the elements, uncorrected, eV/f.u.: 1.8

The structure in Quantum ESPRESSO input format:
```
&SYSTEM
  ibrav = 0, nat = 4, ntyp = 3
/
ATOMIC_SPECIES
Rh 102.91 Rh.upf
Be 9.01 Be.upf
Br 79.90 Br.upf
ATOMIC_POSITIONS angstrom
Rh -0.005 0.004 0.061
Rh -1.677 0.142 2.136
Be -0.355 0.273 3.945
Br -1.987 0.381 5.582
CELL_PARAMETERS angstrom
-1.483 2.519 -0.308
-1.464 -2.549 0.045
-0.719 0.553 7.992
```

---

[12]
A geometry-optimized BeRh2Br structure. Source: Alexandria via LeMat-Bulk, functional PBE. Values from VASP.

Computed properties:
Energy relative to the elements, uncorrected, eV/f.u.: 0.3

The structure in Quantum ESPRESSO input format:
```
&SYSTEM
  ibrav = 0, nat = 4, ntyp = 3
/
ATOMIC_SPECIES
Rh 102.91 Rh.upf
Be 9.01 Be.upf
Br 79.90 Br.upf
ATOMIC_POSITIONS angstrom
Rh -4.401 -2.729 -2.608
Rh -3.032 -0.968 -4.282
Be -3.934 -0.974 -6.323
Br -1.311 -0.325 -2.108
CELL_PARAMETERS angstrom
-1.294 2.161 -2.406
0.860 -0.411 -3.350
-4.811 -3.048 -2.675
```

---

no.,D(E_F) (states/eV/f.u.),energy (eV per cell),size of the total moment (μB per formula unit)
1,3.6,-23.6,0.000
2,3.4,-18.1,0.714
3,3.8,-18.7,0.003
4,5.4,-19.2,0.002
5,4.7,-17.2,1.803
6,4.5,-20.0,0.000
7,4.0,-18.0,0.001
8,3.7,-18.8,0.000
9,2.6,-36.6,0.000
10,3.4,-18.3,0.000
11,5.0,-18.3,0.001
12,3.4,-19.8,0.927